# 1
# CaAcHg

An optimized crystal structure of CaAcHg (PBE, Alexandria).

Computed properties:
Spin magnetization = 0.0 μB/f.u.
ΔE to the lowest computed polymorph = 0.011 eV per atom
Final energy = -2.448 eV per atom
Energy of formation = -0.93 eV/f.u.

a b c (Å): 3.9877 18.0178 5.8151
angles (deg): 90.00 90.00 90.00
Sites, in units of the cell vectors:
Ca (0.0000, 0.2245, 0.2500)
Ca (0.0000, 0.7755, 0.7500)
Ca (0.5000, 0.2755, 0.7500)
Ca (0.5000, 0.7245, 0.2500)
Ac (0.0000, 0.0755, 0.7500)
Ac (0.0000, 0.9245, 0.2500)
Ac (0.5000, 0.4245, 0.2500)
Ac (0.5000, 0.5755, 0.7500)
Hg (0.0000, 0.4121, 0.7500)
Hg (0.0000, 0.5879, 0.2500)
Hg (0.5000, 0.0879, 0.2500)
Hg (0.5000, 0.9121, 0.7500)

# 2
# Sr2Sn2Sb

An optimized crystal structure of Sr2Sn2Sb (PBE, Alexandria).

Computed properties:
Spin magnetization = 0.0 μB/f.u.
Final energy = -3.702 eV per atom
Formation energy from raw total energies = -0.6038 eV/atom

a b c (Å): 8.2297 8.2297 4.8899
angles (deg): 90.00 90.00 90.00
Sites, in units of the cell vectors:
Sr (0.1757, 0.3243, 0.0000)
Sr (0.3243, 0.8243, 0.0000)
Sr (0.6757, 0.1757, 0.0000)
Sr (0.8243, 0.6757, 0.0000)
Sn (0.1256, 0.6256, 0.5000)
Sn (0.3744, 0.1256, 0.5000)
Sn (0.6256, 0.8744, 0.5000)
Sn (0.8744, 0.3744, 0.5000)
Sb (0.0000, 0.0000, 0.5000)
Sb (0.5000, 0.5000, 0.5000)

# 3
# LaI2O2

An optimized crystal structure of LaI2O2 (PBE, Alexandria).

Computed properties:
Spin magnetization = 0.2 μB/f.u.
ΔE to the lowest computed polymorph = 0.805 eV per atom
Final energy = -3.951 eV per atom
Formation energy from raw total energies = -0.3618 eV/atom

a b c (Å): 4.4903 4.4903 5.6863
angles (deg): 90.00 90.00 90.00
Sites, in units of the cell vectors:
La (0.0000, 0.0000, 0.0000)
I (0.0000, 0.5000, 0.5000)
I (0.5000, 0.0000, 0.5000)
O (0.5000, 0.5000, 0.0000)
O (0.5000, 0.5000, 0.5000)

# 4
# PmAgSe2

An optimized crystal structure of PmAgSe2 (PBE, Alexandria).

Computed properties:
Spin magnetization = 0.0 μB/f.u.
Final energy = -4.863 eV per atom
Formation energy from raw total energies = -1.2198 eV/atom

a b c (Å): 6.8887 6.8887 4.4518
angles (deg): 90.00 90.00 90.00
Sites, in units of the cell vectors:
Pm (0.0000, 0.5000, 0.2088)
Pm (0.5000, 0.0000, 0.7912)
Ag (0.0000, 0.0000, 0.0000)
Ag (0.5000, 0.5000, 0.0000)
Se (0.2019, 0.2981, 0.7247)
Se (0.2981, 0.7981, 0.2753)
Se (0.7019, 0.2019, 0.2753)
Se (0.7981, 0.7019, 0.7247)

# 5
# AlGa2Pt2

An optimized crystal structure of AlGa2Pt2 (PBE, Alexandria).

Computed properties:
Spin magnetization = 0.0 μB/f.u.
ΔE to the lowest computed polymorph = 0.353 eV per atom
Final energy = -4.765 eV per atom
Energy of formation = -1.95 eV/f.u.

a b c (Å): 7.7513 7.7513 2.7316
angles (deg): 90.00 90.00 90.00
Sites, in units of the cell vectors:
Al (0.0000, 0.0000, 0.0000)
Al (0.5000, 0.5000, 0.0000)
Ga (0.1268, 0.3732, 0.0000)
Ga (0.3732, 0.8732, 0.0000)
Ga (0.6268, 0.1268, 0.0000)
Ga (0.8732, 0.6268, 0.0000)
Pt (0.1710, 0.6710, 0.5000)
Pt (0.3290, 0.1710, 0.5000)
Pt (0.6710, 0.8290, 0.5000)
Pt (0.8290, 0.3290, 0.5000)

# 6
# Sm8SnC4

An optimized crystal structure of Sm8SnC4 (PBE, Alexandria).

Computed properties:
Spin magnetization = 0.0 μB/f.u.
Final energy = -6.276 eV per atom
Energy of formation = -2.93 eV/f.u.

a b c (Å): 9.0948 9.0948 12.0896
angles (deg): 129.29 129.29 23.47
Sites, in units of the cell vectors:
Sm (0.0417, 0.0417, 0.2462)
Sm (0.2968, 0.2968, 0.4308)
Sm (0.3344, 0.3344, 0.1624)
Sm (0.3712, 0.3712, 0.9126)
Sm (0.6288, 0.6288, 0.0874)
Sm (0.6656, 0.6656, 0.8376)
Sm (0.7032, 0.7032, 0.5692)
Sm (0.9583, 0.9583, 0.7538)
Sn (0.0000, 0.0000, 0.5000)
C (0.1489, 0.1489, 0.9626)
C (0.3331, 0.3331, 0.6680)
C (0.6669, 0.6669, 0.3320)
C (0.8511, 0.8511, 0.0374)

# 7
# V2PH

An optimized crystal structure of V2PH (PBE, Alexandria).

Computed properties:
Spin magnetization = 1.0 μB/f.u.
ΔE to the lowest computed polymorph = 0.503 eV per atom
Final energy = -6.767 eV per atom

a b c (Å): 3.3974 3.3974 17.0325
angles (deg): 90.00 90.00 120.00
Sites, in units of the cell vectors:
V (0.0000, 0.0000, 0.0982)
V (0.0000, 0.0000, 0.9018)
V (0.3333, 0.6667, 0.5684)
V (0.3333, 0.6667, 0.7649)
V (0.6667, 0.3333, 0.2351)
V (0.6667, 0.3333, 0.4316)
P (0.0000, 0.0000, 0.5000)
P (0.3333, 0.6667, 0.1667)
P (0.6667, 0.3333, 0.8333)
H (0.0000, 0.0000, 0.0000)
H (0.3333, 0.6667, 0.6667)
H (0.6667, 0.3333, 0.3333)

# 8
# Nd6HgRh5

An optimized crystal structure of Nd6HgRh5 (PBE, Alexandria).

Computed properties:
Spin magnetization = 0.0 μB/f.u.
Final energy = -6.074 eV per atom
Energy of formation = -7.22 eV/f.u.

a b c (Å): 7.9870 7.9870 7.2530
angles (deg): 90.00 90.00 143.12
Sites, in units of the cell vectors:
Nd (0.0000, 0.0000, 0.2360)
Nd (0.0000, 0.0000, 0.7640)
Nd (0.3281, 0.6719, 0.2455)
Nd (0.3281, 0.6719, 0.7545)
Nd (0.6719, 0.3281, 0.2455)
Nd (0.6719, 0.3281, 0.7545)
Hg (0.5000, 0.5000, 0.5000)
Rh (0.1638, 0.8362, 0.5000)
Rh (0.1678, 0.8322, 0.0000)
Rh (0.5000, 0.5000, 0.0000)
Rh (0.8322, 0.1678, 0.0000)
Rh (0.8362, 0.1638, 0.5000)

# 9
# PmPPtRh

An optimized crystal structure of PmPPtRh (PBE, Alexandria).

Computed properties:
Spin magnetization = 0.0 μB/f.u.
Final energy = -6.966 eV per atom
Energy of formation = -4.31 eV/f.u.

a b c (Å): 3.9334 3.9334 9.4256
angles (deg): 90.00 90.00 90.00
Sites, in units of the cell vectors:
Pm (0.2500, 0.2500, 0.2248)
Pm (0.7500, 0.7500, 0.7752)
P (0.2500, 0.2500, 0.6471)
P (0.7500, 0.7500, 0.3529)
Pt (0.2500, 0.2500, 0.9049)
Pt (0.7500, 0.7500, 0.0951)
Rh (0.2500, 0.7500, 0.5000)
Rh (0.7500, 0.2500, 0.5000)

# 10
# Nd2DyAl2

An optimized crystal structure of Nd2DyAl2 (PBE, Alexandria).

Computed properties:
Spin magnetization = 0.0 μB/f.u.
ΔE to the lowest computed polymorph = 0.162 eV per atom
Final energy = -4.471 eV per atom
Energy of formation = -0.73 eV/f.u.

a b c (Å): 6.2921 3.6830 12.7536
angles (deg): 90.00 96.79 90.00
Sites, in units of the cell vectors:
Nd (0.0686, 0.2500, 0.3582)
Nd (0.2261, 0.7500, 0.9275)
Nd (0.7739, 0.2500, 0.0725)
Nd (0.9314, 0.7500, 0.6418)
Dy (0.4650, 0.2500, 0.7100)
Dy (0.5350, 0.7500, 0.2900)
Al (0.2874, 0.2500, 0.1280)
Al (0.3481, 0.7500, 0.5165)
Al (0.6519, 0.2500, 0.4835)
Al (0.7126, 0.7500, 0.8720)

# 11
# Pr3Er

An optimized crystal structure of Pr3Er (PBE, Alexandria).

Computed properties:
Spin magnetization = 0.0 μB/f.u.
ΔE to the lowest computed polymorph = 0.023 eV per atom
Final energy = -4.689 eV per atom
Energy of formation = 0.15 eV/f.u.

a b c (Å): 3.6974 5.9419 6.3724
angles (deg): 90.00 90.00 90.00
Sites, in units of the cell vectors:
Pr (0.0000, 0.0000, 0.0000)
Pr (0.0000, 0.5000, 0.3343)
Pr (0.5000, 0.5000, 0.8338)
Er (0.5000, 0.0000, 0.5014)

# 12
# AlCrAu

An optimized crystal structure of AlCrAu (PBE, Alexandria).

Computed properties:
Spin magnetization = 4.0 μB/f.u.
Final energy = -5.543 eV per atom
Energy of formation = 0.02 eV/f.u.

a b c (Å): 3.0305 3.7556 8.6008
angles (deg): 90.00 90.00 90.00
Sites, in units of the cell vectors:
Al (0.0000, 0.0000, 0.0000)
Al (0.5000, 0.5000, 0.5000)
Cr (0.0000, 0.0000, 0.3363)
Cr (0.5000, 0.5000, 0.8363)
Au (0.0000, 0.0000, 0.6615)
Au (0.5000, 0.5000, 0.1615)